# NiBPtW2 | Alexandria via LeMat-Bulk | PBE | optimized geometry
data_NiBPtW2
_chemical_formula_sum 'Ni1 B1 Pt1 W2'
_cell_length_a 4.7594
_cell_length_b 4.7594
_cell_length_c 4.5247
_cell_angle_alpha 90.00
_cell_angle_beta 90.00
_cell_angle_gamma 90.00
_space_group_name_H-M_alt 'P 4/m m m'
_space_group_IT_number 123
_space_group_name_Hall '-P 4 2'
loop_
_atom_site_label
_atom_site_fract_x
_atom_site_fract_y
_atom_site_fract_z
Ni1 0.0000 0.0000 0.0000
B1 0.5000 0.5000 0.0000
Pt1 0.0000 0.0000 0.5000
W1 0.0000 0.5000 0.5000
# Calculated formation energy   2.643 eV/atom